## Nd4SmZn2 (PBE-GGA)

Data for a relaxed structure of Nd4SmZn2.

Computed properties:
magnetization = 0.03 μB per cell
DFT formation energy = 142 meV per atom
volume = 227.1 Å³ per cell
space-group type = R-3m

Geometry as CIF:
```
data_Nd4SmZn2
_chemical_formula_sum 'Nd4 Sm1 Zn2'
_symmetry_space_group_name_H-M 'P 1'
_symmetry_Int_Tables_number 1
_cell_length_a 10.412
_cell_length_b 10.412
_cell_length_c 10.412
_cell_angle_alpha 28.49
_cell_angle_beta 28.49
_cell_angle_gamma 28.49
loop_
_symmetry_equiv_pos_as_xyz
'x,y,z'
loop_
_atom_site_label
_atom_site_fract_x
_atom_site_fract_y
_atom_site_fract_z
Nd1 0.102 0.102 0.102
Nd2 0.297 0.297 0.297
Nd3 0.703 0.703 0.703
Nd4 0.898 0.898 0.898
Sm1 0.500 0.500 0.500
Zn1 0.400 0.400 0.400
Zn2 0.600 0.600 0.600
```


## Tm3Ru (PBE-GGA)

Data for a relaxed structure of Tm3Ru.

Computed properties:
magnetization = 0.00 μB per cell
DFT formation energy = -291 meV per atom
volume = 797.1 Å³ per cell
space-group type = P4_2/n

Geometry as CIF:
```
data_Tm3Ru
_chemical_formula_sum 'Tm24 Ru8'
_symmetry_space_group_name_H-M 'P 1'
_symmetry_Int_Tables_number 1
_cell_length_a 11.466
_cell_length_b 11.466
_cell_length_c 6.063
_cell_angle_alpha 90.00
_cell_angle_beta 90.00
_cell_angle_gamma 90.00
loop_
_symmetry_equiv_pos_as_xyz
'x,y,z'
loop_
_atom_site_label
_atom_site_fract_x
_atom_site_fract_y
_atom_site_fract_z
Tm1 0.033 0.587 0.208
Tm2 0.087 0.967 0.708
Tm3 0.117 0.198 0.019
Tm4 0.122 0.665 0.699
Tm5 0.165 0.878 0.199
Tm6 0.198 0.383 0.481
Tm7 0.302 0.117 0.481
Tm8 0.335 0.622 0.199
Tm9 0.378 0.835 0.699
Tm10 0.383 0.302 0.019
Tm11 0.413 0.533 0.708
Tm12 0.467 0.913 0.208
Tm13 0.533 0.087 0.792
Tm14 0.587 0.467 0.292
Tm15 0.617 0.698 0.981
Tm16 0.622 0.165 0.301
Tm17 0.665 0.378 0.801
Tm18 0.698 0.883 0.519
Tm19 0.802 0.617 0.519
Tm20 0.835 0.122 0.801
Tm21 0.878 0.335 0.301
Tm22 0.883 0.802 0.981
Tm23 0.913 0.033 0.292
Tm24 0.967 0.413 0.792
Ru1 0.045 0.192 0.532
Ru2 0.192 0.455 0.968
Ru3 0.308 0.045 0.968
Ru4 0.455 0.308 0.532
Ru5 0.545 0.692 0.468
Ru6 0.692 0.955 0.032
Ru7 0.808 0.545 0.032
Ru8 0.955 0.808 0.468
```


## UGaOs2 (PBE-GGA)

Data for a relaxed structure of UGaOs2.

Computed properties:
magnetization = 0.38 μB per cell
DFT formation energy = -118 meV per atom
volume = 67.1 Å³ per cell
space-group type = P4/mmm

Geometry as CIF:
```
data_UGaOs2
_chemical_formula_sum 'U1 Ga1 Os2'
_symmetry_space_group_name_H-M 'P 1'
_symmetry_Int_Tables_number 1
_cell_length_a 4.249
_cell_length_b 4.249
_cell_length_c 3.715
_cell_angle_alpha 90.00
_cell_angle_beta 90.00
_cell_angle_gamma 90.00
loop_
_symmetry_equiv_pos_as_xyz
'x,y,z'
loop_
_atom_site_label
_atom_site_fract_x
_atom_site_fract_y
_atom_site_fract_z
U1 0.000 0.000 0.000
Ga1 0.500 0.500 0.000
Os1 0.000 0.500 0.500
Os2 0.500 0.000 0.500
```


## Sr3Tl3Pb2 (PBE-GGA)

Data for a relaxed structure of Sr3Tl3Pb2.

Computed properties:
magnetization = 0.00 μB per cell
DFT formation energy = -355 meV per atom
volume = 1115.8 Å³ per cell
space-group type = Pnma

Geometry as CIF:
```
data_Sr3Tl3Pb2
_chemical_formula_sum 'Sr12 Tl12 Pb8'
_symmetry_space_group_name_H-M 'P 1'
_symmetry_Int_Tables_number 1
_cell_length_a 9.151
_cell_length_b 17.829
_cell_length_c 6.839
_cell_angle_alpha 90.00
_cell_angle_beta 90.00
_cell_angle_gamma 90.00
loop_
_symmetry_equiv_pos_as_xyz
'x,y,z'
loop_
_atom_site_label
_atom_site_fract_x
_atom_site_fract_y
_atom_site_fract_z
Sr1 0.048 0.111 0.115
Sr2 0.048 0.389 0.115
Sr3 0.194 0.250 0.636
Sr4 0.306 0.750 0.136
Sr5 0.452 0.611 0.615
Sr6 0.452 0.889 0.615
Sr7 0.548 0.111 0.385
Sr8 0.548 0.389 0.385
Sr9 0.694 0.250 0.864
Sr10 0.806 0.750 0.364
Sr11 0.952 0.611 0.885
Sr12 0.952 0.889 0.885
Tl1 0.174 0.750 0.672
Tl2 0.210 0.041 0.537
Tl3 0.210 0.459 0.537
Tl4 0.290 0.541 0.037
Tl5 0.290 0.959 0.037
Tl6 0.326 0.250 0.172
Tl7 0.674 0.750 0.828
Tl8 0.710 0.041 0.963
Tl9 0.710 0.459 0.963
Tl10 0.790 0.541 0.463
Tl11 0.790 0.959 0.463
Tl12 0.826 0.250 0.328
Pb1 0.089 0.619 0.379
Pb2 0.089 0.881 0.379
Pb3 0.411 0.119 0.879
Pb4 0.411 0.381 0.879
Pb5 0.589 0.619 0.121
Pb6 0.589 0.881 0.121
Pb7 0.911 0.119 0.621
Pb8 0.911 0.381 0.621
```